# 1
VASP calculation (PBE) on a relaxed structure of Ba2NaY.

Properties
Space group: No. 123
Energy above the lowest structure with this stoichiometry, eV per atom: 0.000
Energy of formation, eV/f.u.: 0.71
Magnetization, μB/cell: 0.0
D(E_F), states/eV/cell: 6.5

Cell lengths 4.4522, 4.4522, 9.6050 Å; angles 90.00, 90.00, 90.00 degrees
Element x y z (fractional)
Ba 0.0000 0.0000 0.2421
Ba 0.0000 0.0000 0.7579
Na 0.5000 0.5000 0.5000
Y 0.5000 0.5000 0.0000

=====

# 2
VASP calculation (PBE) on a relaxed structure of Nd6C2SeI3.

Properties
Formation energy (no corrections), kcal/mol of atoms: -21.53
Space group: No. 12
Magnetization, μB/cell: 0.0
D(E_F), states/eV/cell: 3.9

Cell lengths 7.0017, 7.0017, 8.0716 Å; angles 98.32, 98.32, 120.01 degrees
Element x y z (fractional)
Nd 0.0790 0.4407 0.8222
Nd 0.1975 0.1975 0.1769
Nd 0.4407 0.0790 0.8222
Nd 0.5593 0.9210 0.1778
Nd 0.8025 0.8025 0.8231
Nd 0.9210 0.5593 0.1778
C 0.1668 0.8332 0.0000
C 0.8332 0.1668 0.0000
Se 0.5000 0.5000 0.0000
I 0.0000 0.0000 0.5000
I 0.3376 0.6624 0.5000
I 0.6624 0.3376 0.5000

=====

# 3
VASP calculation (PBE) on a relaxed structure of SmTh2Tc.

Properties
Space group: No. 123
Energy above the lowest structure with this stoichiometry, eV per atom: 0.131
Energy of formation, eV/f.u.: 0.10
Magnetization, μB/cell: 0.0
D(E_F), states/eV/cell: 7.2

Cell lengths 3.5508, 3.5508, 8.7873 Å; angles 90.00, 90.00, 90.00 degrees
Element x y z (fractional)
Sm 0.0000 0.0000 0.0000
Th 0.5000 0.5000 0.2975
Th 0.5000 0.5000 0.7025
Tc 0.0000 0.0000 0.5000

=====

# 4
VASP calculation (PBE) on a relaxed structure of NiMo2Au.

Properties
Space group: No. 65
Energy above the lowest structure with this stoichiometry, eV per atom: 0.094
Energy of formation, eV/f.u.: 0.83
Magnetization, μB/cell: 0.0
D(E_F), states/eV/cell: 4.4

Cell lengths 4.9730, 4.9730, 2.6968 Å; angles 90.00, 90.00, 115.33 degrees
Element x y z (fractional)
Ni 0.0000 0.0000 0.0000
Mo 0.0000 0.5000 0.5000
Mo 0.5000 0.0000 0.5000
Au 0.5000 0.5000 0.0000

=====

# 5
VASP calculation (PBE) on a relaxed structure of NbP2RhO.

Properties
Formation energy (no corrections), kcal/mol of atoms: 6.79
Space group: No. 123
Energy above the lowest structure with this stoichiometry, eV per atom: 0.285
Magnetization, μB/cell: 0.0
D(E_F), states/eV/cell: 4.7

Cell lengths 4.7431, 4.7431, 3.6317 Å; angles 90.00, 90.00, 90.00 degrees
Element x y z (fractional)
Nb 0.0000 0.0000 0.0000
P 0.0000 0.5000 0.5000
P 0.5000 0.0000 0.5000
Rh 0.5000 0.5000 0.5000
O 0.5000 0.5000 0.0000

=====

# 6
VASP calculation (PBE) on a relaxed structure of RbGeP2Se8.

Properties
Formation energy (no corrections), kcal/mol of atoms: -3.65
Space group: No. 147
Magnetization, μB/cell: 0.0
D(E_F), states/eV/cell: 12.1

Cell lengths 6.2447, 6.2447, 10.2561 Å; angles 90.00, 90.00, 120.00 degrees
Element x y z (fractional)
Rb 0.0000 0.0000 0.0000
Ge 0.0000 0.0000 0.5000
P 0.3333 0.6667 0.7190
P 0.6667 0.3333 0.2810
Se 0.0169 0.6828 0.3384
Se 0.3172 0.3341 0.3384
Se 0.3333 0.6667 0.9304
Se 0.3341 0.0169 0.6616
Se 0.6659 0.9831 0.3384
Se 0.6667 0.3333 0.0696
Se 0.6828 0.6659 0.6616
Se 0.9831 0.3172 0.6616

=====

no.,E_tot (eV/atom)
1,-2.730
2,-5.533
3,-7.457
4,-7.472
5,-6.346
6,-3.848